# PmSmBr3

An optimized crystal structure of PmSmBr3 (PBE, the Alexandria database).

Cell: 4.0557 9.0004 10.2643 Å, 71.71 78.61 76.98°
Fractional coordinates of all 10 atoms:
Sm1 0.4206 0.2042 0.9545
Sm2 0.5794 0.7958 0.0455
Pm1 0.8619 0.9883 0.2879
Pm2 0.1381 0.0117 0.7121
Br1 0.6615 0.1833 0.4937
Br2 0.3385 0.8167 0.5063
Br3 0.2213 0.6776 0.8798
Br4 0.0392 0.6613 0.2603
Br5 0.9608 0.3387 0.7397
Br6 0.7787 0.3224 0.1202

Results
- Space-group type: No. 12
- Energy above the lowest structure with this stoichiometry: 0.0 kJ/mol of atoms
- Raw formation energy: -1.519 eV/atom

---

# LaDy4Er3

An optimized crystal structure of LaDy4Er3 (PBE, the Alexandria database).

Cell: 3.4467 6.6630 15.1833 Å, 131.16 96.52 90.00°
Fractional coordinates of all 8 atoms:
Dy1 0.6265 0.1217 0.2531
Dy2 0.3732 0.3616 0.7464
Dy3 0.6268 0.6384 0.2536
Dy4 0.3735 0.8783 0.7469
Er1 0.7602 0.7801 0.5204
Er2 0.2398 0.2199 0.4796
Er3 0.0000 0.5000 0.0000
La1 0.5000 0.0000 0.0000

Results
- Space-group type: No. 71
- Energy above the lowest structure with this stoichiometry: 14.8 kJ/mol of atoms
- Density of states at the Fermi level: 15.43 states/eV per cell
- Energy of formation from the pure elements: 129 kJ/mol of formula units

---

# BaAsF3

An optimized crystal structure of BaAsF3 (PBE, the Alexandria database).

Cell: 4.6205 4.6205 4.6205 Å, 90.00 90.00 90.00°
Fractional coordinates of all 5 atoms:
F1 0.0000 0.0000 0.5000
F2 0.5000 0.0000 0.0000
F3 0.0000 0.5000 0.0000
As1 0.0000 0.0000 0.0000
Ba1 0.5000 0.5000 0.5000

Results
- Space-group type: No. 221
- Energy above the lowest structure with this stoichiometry: 0.0 kJ/mol of atoms
- Density of states at the Fermi level: 1.88 states/eV per cell
- Raw formation energy: -1.986 eV/atom

---

# KAl

An optimized crystal structure of KAl (PBE, the Alexandria database).

Cell: 3.6298 4.6911 9.3224 Å, 90.00 90.00 90.00°
Fractional coordinates of all 4 atoms:
Al1 0.0000 0.5000 0.2254
Al2 0.0000 0.0000 0.1080
K1 0.5000 0.0000 0.4503
K2 0.5000 0.5000 0.8830

Results
- Space-group type: No. 51
- Energy above the lowest structure with this stoichiometry: 14.8 kJ/mol of atoms
- Density of states at the Fermi level: 1.60 states/eV per cell
- Energy of formation from the pure elements: 52 kJ/mol of formula units

---

# BaAlHg2S4

An optimized crystal structure of BaAlHg2S4 (PBE, the Alexandria database).

Cell: 6.9235 6.4213 6.4213 Å, 75.93 57.38 57.38°
Fractional coordinates of all 8 atoms:
Hg1 0.0000 0.2054 0.7946
Hg2 0.0000 0.7946 0.2054
Al1 0.5000 0.5000 0.5000
S1 0.4824 0.1615 0.4794
S2 0.1234 0.8385 0.5206
S3 0.8766 0.4794 0.1615
S4 0.5176 0.5206 0.8385
Ba1 0.5000 0.0000 0.0000

Results
- Space-group type: No. 23
- Density of states at the Fermi level: 3.16 states/eV per cell
- Raw formation energy: -0.870 eV/atom

---

# LaIn2Ge2

An optimized crystal structure of LaIn2Ge2 (PBE, the Alexandria database).

Cell: 4.4209 4.4209 7.1954 Å, 72.11 72.11 90.00°
Fractional coordinates of all 5 atoms:
In1 0.2500 0.7500 0.5000
In2 0.7500 0.2500 0.5000
Ge1 0.5950 0.5950 0.8101
Ge2 0.4050 0.4050 0.1899
La1 0.0000 0.0000 0.0000

Results
- Space-group type: No. 139
- Density of states at the Fermi level: 3.31 states/eV per cell
- Energy of formation from the pure elements: -131 kJ/mol of formula units

---

VASP energy per entry: -4.42, -4.46, -4.42, -2.15, -3.72, -4.20 eV per atom